Computed, not measured: a relaxed Rb2LiBi2 crystal at the PBE-GGA level of DFT.

## Properties
E_form ... -1.41 eV per formula unit
Crystal system ... tetragonal
Offset from the most stable computed form ... 44.4 meV per atom

abc: 7.9386 7.9386 6.1401
angles: 90.00 90.00 90.00
Fractional coordinates of all 10 atoms:
Rb (0.1663, 0.3337, 0.0000)
Rb (0.3337, 0.8337, 0.0000)
Rb (0.6663, 0.1663, 0.0000)
Rb (0.8337, 0.6663, 0.0000)
Li (0.0000, 0.0000, 0.5000)
Li (0.5000, 0.5000, 0.5000)
Bi (0.1390, 0.6390, 0.5000)
Bi (0.3610, 0.1390, 0.5000)
Bi (0.6390, 0.8610, 0.5000)
Bi (0.8610, 0.3610, 0.5000)



Computed, not measured: a relaxed Rb3LiBi crystal at the PBE-GGA level of DFT.

## Properties
E_form ... 0.31 eV per formula unit
Crystal system ... cubic
Offset from the most stable computed form ... 241.8 meV per atom

abc: 7.2301 7.2301 7.2301
angles: 90.00 90.00 90.00
Fractional coordinates of all 5 atoms:
Rb (0.0000, 0.0000, 0.5000)
Rb (0.0000, 0.5000, 0.0000)
Rb (0.5000, 0.0000, 0.0000)
Li (0.5000, 0.5000, 0.5000)
Bi (0.0000, 0.0000, 0.0000)



Computed, not measured: a relaxed Rb3LiBi crystal at the PBE-GGA level of DFT.

## Properties
E_form ... -0.90 eV per formula unit
Crystal system ... orthorhombic
Offset from the most stable computed form ... 0.0 meV per atom

abc: 6.7459 6.7459 12.1847
angles: 90.00 90.00 122.26
Fractional coordinates of all 10 atoms:
Rb (0.1385, 0.8615, 0.7500)
Rb (0.1740, 0.8260, 0.0737)
Rb (0.1740, 0.8260, 0.4263)
Rb (0.8260, 0.1740, 0.5737)
Rb (0.8260, 0.1740, 0.9263)
Rb (0.8615, 0.1385, 0.2500)
Li (0.4786, 0.5214, 0.7500)
Li (0.5214, 0.4786, 0.2500)
Bi (0.5000, 0.5000, 0.0000)
Bi (0.5000, 0.5000, 0.5000)



Computed, not measured: a relaxed RbLi12Bi6 crystal at the PBE-GGA level of DFT.

## Properties
E_form ... -6.65 eV per formula unit
Crystal system ... trigonal

abc: 8.1591 8.1591 8.1591
angles: 103.84 103.84 103.84
Fractional coordinates of all 19 atoms:
Rb (0.0000, 0.0000, 0.0000)
Li (0.1170, 0.5000, 0.8830)
Li (0.1170, 0.8830, 0.5000)
Li (0.1406, 0.4390, 0.4390)
Li (0.4390, 0.1406, 0.4390)
Li (0.4390, 0.4390, 0.1406)
Li (0.5000, 0.1170, 0.8830)
Li (0.5000, 0.8830, 0.1170)
Li (0.5610, 0.5610, 0.8594)
Li (0.5610, 0.8594, 0.5610)
Li (0.8594, 0.5610, 0.5610)
Li (0.8830, 0.1170, 0.5000)
Li (0.8830, 0.5000, 0.1170)
Bi (0.2502, 0.2502, 0.7032)
Bi (0.2502, 0.7032, 0.2502)
Bi (0.2968, 0.7498, 0.7498)
Bi (0.7032, 0.2502, 0.2502)
Bi (0.7498, 0.2968, 0.7498)
Bi (0.7498, 0.7498, 0.2968)



Computed, not measured: a relaxed Rb2LiBi2 crystal at the PBE-GGA level of DFT.

## Properties
E_form ... -0.14 eV per formula unit
Crystal system ... tetragonal
Offset from the most stable computed form ... 299.1 meV per atom

abc: 10.8980 10.8980 3.6763
angles: 90.00 90.00 90.00
Fractional coordinates of all 10 atoms:
Rb (0.1950, 0.3050, 0.0000)
Rb (0.3050, 0.8050, 0.0000)
Rb (0.6950, 0.1950, 0.0000)
Rb (0.8050, 0.6950, 0.0000)
Li (0.0000, 0.0000, 0.0000)
Li (0.5000, 0.5000, 0.0000)
Bi (0.0971, 0.5971, 0.5000)
Bi (0.4029, 0.0971, 0.5000)
Bi (0.5971, 0.9029, 0.5000)
Bi (0.9029, 0.4029, 0.5000)



Computed, not measured: a relaxed RbLi2Bi3S6 crystal at the PBE-GGA level of DFT.

## Properties
VASP energy ... -4.14 eV per atom
Crystal system ... monoclinic

abc: 8.9895 8.9895 8.8310
angles: 102.31 102.31 26.23
Fractional coordinates of all 12 atoms:
Rb (0.0000, 0.0000, 0.0000)
Li (0.3337, 0.3337, 0.7256)
Li (0.6663, 0.6663, 0.2744)
Bi (0.0000, 0.0000, 0.5000)
Bi (0.3347, 0.3347, 0.1684)
Bi (0.6653, 0.6653, 0.8316)
S (0.1686, 0.1686, 0.6270)
S (0.1812, 0.1812, 0.1023)
S (0.4793, 0.4793, 0.7082)
S (0.5207, 0.5207, 0.2918)
S (0.8188, 0.8188, 0.8977)
S (0.8314, 0.8314, 0.3730)



Computed, not measured: a relaxed RbLiBi2S4 crystal at the PBE-GGA level of DFT.

## Properties
VASP energy ... -4.16 eV per atom
Crystal system ... orthorhombic

abc: 7.3298 7.3298 14.3749
angles: 90.00 90.00 147.25
Fractional coordinates of all 16 atoms:
Rb (0.1053, 0.8947, 0.7500)
Rb (0.8947, 0.1053, 0.2500)
Li (0.1635, 0.8365, 0.2500)
Li (0.8365, 0.1635, 0.7500)
Bi (0.3664, 0.6336, 0.5611)
Bi (0.3664, 0.6336, 0.9389)
Bi (0.6336, 0.3664, 0.0611)
Bi (0.6336, 0.3664, 0.4389)
S (0.0000, 0.0000, 0.0000)
S (0.0000, 0.0000, 0.5000)
S (0.2594, 0.7406, 0.1085)
S (0.2594, 0.7406, 0.3915)
S (0.4219, 0.5781, 0.7500)
S (0.5781, 0.4219, 0.2500)
S (0.7406, 0.2594, 0.6085)
S (0.7406, 0.2594, 0.8915)



Computed, not measured: a relaxed RbLiBiS2 crystal at the PBE-GGA level of DFT.

## Properties
VASP energy ... -3.76 eV per atom
Crystal system ... orthorhombic

abc: 8.6782 7.7173 3.9760
angles: 90.00 90.00 90.00
Fractional coordinates of all 10 atoms:
Rb (0.2500, 0.0000, 0.0007)
Rb (0.7500, 0.0000, 0.9993)
Li (0.0000, 0.5000, 0.0000)
Li (0.5000, 0.5000, 0.0000)
Bi (0.2500, 0.5000, 0.5000)
Bi (0.7500, 0.5000, 0.5000)
S (0.0000, 0.2655, 0.5000)
S (0.0000, 0.7345, 0.5000)
S (0.5000, 0.2655, 0.5000)
S (0.5000, 0.7345, 0.5000)



Computed, not measured: a relaxed RbLiScBi2 crystal at the PBE-GGA level of DFT.

## Properties
E_form ... 0.77 eV per formula unit
Crystal system ... tetragonal

abc: 5.4739 5.4739 5.0313
angles: 90.00 90.00 90.00
Fractional coordinates of all 5 atoms:
Rb (0.0000, 0.0000, 0.0000)
Li (0.0000, 0.0000, 0.5000)
Sc (0.5000, 0.5000, 0.0000)
Bi (0.0000, 0.5000, 0.5000)
Bi (0.5000, 0.0000, 0.5000)



Computed, not measured: a relaxed Rb2LiSnBi2 crystal at the PBE-GGA level of DFT.

## Properties
E_form ... -2.16 eV per formula unit
Crystal system ... orthorhombic

abc: 10.0344 10.0344 10.0344
angles: 137.57 62.14 136.81
Fractional coordinates of all 12 atoms:
Rb (0.1689, 0.2482, 0.4172)
Rb (0.3311, 0.7482, 0.0793)
Rb (0.6689, 0.2518, 0.9207)
Rb (0.8311, 0.7518, 0.5828)
Li (0.2500, 0.7500, 0.5000)
Li (0.7500, 0.2500, 0.5000)
Sn (0.2500, 0.2500, 0.0000)
Sn (0.7500, 0.7500, 0.0000)
Bi (0.0977, 0.7434, 0.8411)
Bi (0.4023, 0.2434, 0.6456)
Bi (0.5977, 0.7566, 0.3544)
Bi (0.9023, 0.2566, 0.1589)



Computed, not measured: a relaxed RbSr2Li2Bi2 crystal at the PBE-GGA level of DFT.

## Properties
E_form ... -3.91 eV per formula unit
Crystal system ... trigonal

abc: 11.2971 11.2971 11.2971
angles: 26.80 26.80 26.80
Fractional coordinates of all 7 atoms:
Rb (0.0000, 0.0000, 0.0000)
Sr (0.1317, 0.1317, 0.1317)
Sr (0.8683, 0.8683, 0.8683)
Li (0.4183, 0.4183, 0.4183)
Li (0.5817, 0.5817, 0.5817)
Bi (0.2475, 0.2475, 0.2475)
Bi (0.7525, 0.7525, 0.7525)



Computed, not measured: a relaxed RbLi2TaBi crystal at the PBE-GGA level of DFT.

## Properties
E_form ... 6.91 eV per formula unit
Crystal system ... tetragonal

abc: 5.4355 5.4355 6.1082
angles: 90.00 90.00 90.00
Fractional coordinates of all 5 atoms:
Rb (0.0000, 0.0000, 0.0000)
Li (0.0000, 0.5000, 0.5000)
Li (0.5000, 0.0000, 0.5000)
Ta (0.0000, 0.0000, 0.5000)
Bi (0.5000, 0.5000, 0.0000)



Computed, not measured: a relaxed RbLiBiTe2 crystal at the PBE-GGA level of DFT.

## Properties
VASP energy ... -3.25 eV per atom
Crystal system ... orthorhombic

abc: 9.3577 8.5903 4.3393
angles: 90.00 90.00 90.00
Fractional coordinates of all 10 atoms:
Rb (0.2500, 0.0000, 0.0012)
Rb (0.7500, 0.0000, 0.9988)
Li (0.0000, 0.5000, 0.0000)
Li (0.5000, 0.5000, 0.0000)
Bi (0.2500, 0.5000, 0.5000)
Bi (0.7500, 0.5000, 0.5000)
Te (0.0000, 0.2561, 0.5000)
Te (0.0000, 0.7439, 0.5000)
Te (0.5000, 0.2561, 0.5000)
Te (0.5000, 0.7439, 0.5000)



Computed, not measured: a relaxed RbLiBiTe3 crystal at the PBE-GGA level of DFT.

## Properties
VASP energy ... -3.29 eV per atom
Crystal system ... monoclinic

abc: 10.2052 4.7340 10.5055
angles: 90.00 117.28 90.00
Fractional coordinates of all 12 atoms:
Rb (0.2344, 0.2500, 0.2369)
Rb (0.7656, 0.7500, 0.7631)
Li (0.1093, 0.2500, 0.5649)
Li (0.8907, 0.7500, 0.4351)
Bi (0.3150, 0.7500, 0.8364)
Bi (0.6850, 0.2500, 0.1636)
Te (0.0951, 0.2500, 0.8264)
Te (0.1877, 0.7500, 0.4910)
Te (0.4839, 0.7500, 0.1720)
Te (0.5161, 0.2500, 0.8280)
Te (0.8123, 0.2500, 0.5090)
Te (0.9049, 0.7500, 0.1736)



Computed, not measured: a relaxed RbLiTlBi2 crystal at the PBE-GGA level of DFT.

## Properties
E_form ... -0.65 eV per formula unit
Crystal system ... tetragonal

abc: 5.4204 5.4204 5.6646
angles: 90.00 90.00 90.00
Fractional coordinates of all 5 atoms:
Rb (0.0000, 0.0000, 0.0000)
Li (0.5000, 0.5000, 0.5000)
Tl (0.5000, 0.5000, 0.0000)
Bi (0.0000, 0.5000, 0.5000)
Bi (0.5000, 0.0000, 0.5000)



Computed, not measured: a relaxed RbLiTl2Bi crystal at the PBE-GGA level of DFT.

## Properties
E_form ... -0.64 eV per formula unit
Crystal system ... tetragonal

abc: 5.5684 5.5684 5.3848
angles: 90.00 90.00 90.00
Fractional coordinates of all 5 atoms:
Rb (0.0000, 0.0000, 0.0000)
Li (0.5000, 0.5000, 0.5000)
Tl (0.0000, 0.5000, 0.5000)
Tl (0.5000, 0.0000, 0.5000)
Bi (0.5000, 0.5000, 0.0000)



Computed, not measured: a relaxed RbLi2Zn2Bi2 crystal at the PBE-GGA level of DFT.

## Properties
E_form ... -2.34 eV per formula unit
Crystal system ... monoclinic

abc: 4.6763 4.6763 10.2842
angles: 103.05 103.05 59.94
Fractional coordinates of all 7 atoms:
Rb (0.0000, 0.0000, 0.0000)
Li (0.1435, 0.1435, 0.4317)
Li (0.8565, 0.8565, 0.5683)
Zn (0.4553, 0.4553, 0.3675)
Zn (0.5447, 0.5447, 0.6325)
Bi (0.2433, 0.2433, 0.7293)
Bi (0.7567, 0.7567, 0.2707)



Computed, not measured: a relaxed RbLiZrBi2 crystal at the PBE-GGA level of DFT.

## Properties
E_form ... 1.82 eV per formula unit
Crystal system ... tetragonal

abc: 5.3907 5.3907 5.2420
angles: 90.00 90.00 90.00
Fractional coordinates of all 5 atoms:
Rb (0.0000, 0.0000, 0.0000)
Li (0.5000, 0.5000, 0.5000)
Zr (0.5000, 0.5000, 0.0000)
Bi (0.0000, 0.5000, 0.5000)
Bi (0.5000, 0.0000, 0.5000)



Computed, not measured: a relaxed LiRe2Bi2 crystal at the PBE-GGA level of DFT.

## Properties
E_form ... 4.12 eV per formula unit
Crystal system ... tetragonal
Offset from the most stable computed form ... 103.1 meV per atom

abc: 7.0260 7.0260 4.2362
angles: 90.00 90.00 90.00
Fractional coordinates of all 10 atoms:
Li (0.0000, 0.0000, 0.0000)
Li (0.5000, 0.5000, 0.0000)
Re (0.1198, 0.3802, 0.0000)
Re (0.3802, 0.8802, 0.0000)
Re (0.6198, 0.1198, 0.0000)
Re (0.8802, 0.6198, 0.0000)
Bi (0.1780, 0.6780, 0.5000)
Bi (0.3220, 0.1780, 0.5000)
Bi (0.6780, 0.8220, 0.5000)
Bi (0.8220, 0.3220, 0.5000)



Computed, not measured: a relaxed Li3ReBi crystal at the PBE-GGA level of DFT.

## Properties
E_form ... 5.55 eV per formula unit
Crystal system ... cubic
Offset from the most stable computed form ... 0.0 meV per atom

abc: 5.1896 5.1896 5.1896
angles: 90.00 90.00 90.00
Fractional coordinates of all 5 atoms:
Li (0.0000, 0.0000, 0.5000)
Li (0.0000, 0.5000, 0.0000)
Li (0.5000, 0.0000, 0.0000)
Re (0.5000, 0.5000, 0.5000)
Bi (0.0000, 0.0000, 0.0000)